[1]
The following is a GGA-PBE calculation of a geometry-optimized LiCaThTl structure, from the Alexandria database.

a b c (Å): 5.426 5.426 5.426
angles (deg): 60.00 60.00 60.00
Sites, in units of the cell vectors:
Li  0.000  0.000  0.000
Ca  0.250  0.250  0.250
Th  0.750  0.750  0.750
Tl  0.500  0.500  0.500

Results
Its space group is F-43m. The calculated formation energy is -24 meV per atom. The value obtained for the density of states at the Fermi level is 3.21 states/eV per cell.

=====

[2]
The following is a GGA-PBE calculation of a geometry-optimized LiCa2Ti structure, from the Alexandria database.

a b c (Å): 5.529 5.529 5.529
angles (deg): 60.00 60.00 60.00
Sites, in units of the cell vectors:
Li  0.000  0.000  0.000
Ca  0.250  0.250  0.250
Ca  0.750  0.750  0.750
Ti  0.500  0.500  0.500

Results
Its space group is Fm-3m. The calculated formation energy is 458 meV per atom. The value obtained for the density of states at the Fermi level is 10.82 states/eV per cell. The calculation puts the excess energy over the best structure of this formula in the dataset at 0 meV/atom.

=====

[3]
The following is a GGA-PBE calculation of a geometry-optimized Li3CaTi structure, from the Alexandria database.

a b c (Å): 5.190 5.190 5.190
angles (deg): 90.00 90.00 90.00
Sites, in units of the cell vectors:
Li  0.000  0.000  0.500
Li  0.000  0.500  0.000
Li  0.500  0.000  0.000
Ca  0.500  0.500  0.500
Ti  0.000  0.000  0.000

Results
Its space group is Pm-3m. The calculated formation energy is 720 meV per atom. The value obtained for the density of states at the Fermi level is 8.99 states/eV per cell. The calculation puts the excess energy over the best structure of this formula in the dataset at 0 meV/atom.

=====

[4]
The following is a GGA-PBE calculation of a geometry-optimized Li2CaTi structure, from the Alexandria database.

a b c (Å): 6.415 6.415 6.415
angles (deg): 103.41 103.41 122.42
Sites, in units of the cell vectors:
Li  0.105  0.125  0.480
Li  0.375  0.895  0.020
Li  0.645  0.625  0.520
Li  0.875  0.355  0.980
Ca  0.250  0.750  0.500
Ca  0.500  0.500  0.000
Ti  0.000  0.000  0.000
Ti  0.750  0.250  0.500

Results
Its space group is I-42d. The calculated formation energy is 608 meV per atom. The value obtained for the density of states at the Fermi level is 15.58 states/eV per cell. The calculation puts the excess energy over the best structure of this formula in the dataset at 120 meV/atom.